Model 1:
A plane-wave DFT calculation with PBE-GGA was carried out for Ce2MgPt after structural relaxation.

Cell lengths 4.608, 4.392, 4.392 Å; angles 90.00, 90.00, 90.00 degrees
Fractional positions:
Mg  0.500  0.500  0.500
Ce  0.000  0.000  0.500
Ce  0.000  0.500  0.000
Pt  0.500  0.000  0.000

Properties
Crystal system: tetragonal
Total magnetic moment: 0.00 μB per formula unit

---

Model 2:
A plane-wave DFT calculation with PBE-GGA was carried out for Ce2MgPt after structural relaxation.

Cell lengths 3.819, 3.819, 6.766 Å; angles 90.00, 90.00, 90.00 degrees
Fractional positions:
Mg  0.500  0.500  0.500
Ce  0.000  0.000  0.789
Ce  0.000  0.000  0.211
Pt  0.500  0.500  0.000

Properties
Crystal system: tetragonal
Total magnetic moment: 1.16 μB per formula unit

---

Relative energy of each structure, in kJ/mol of atoms: model 1 5.5; model 2 0.0.

---

Model 1:
A plane-wave DFT calculation with PBE-GGA was carried out for Ce2MgPt9 after structural relaxation.

Cell lengths 5.399, 5.399, 9.479 Å; angles 73.45, 73.45, 60.00 degrees
Fractional positions:
Ce  0.863  0.863  0.412
Ce  0.137  0.137  0.588
Mg  0.000  0.000  0.000
Pt  0.668  0.668  0.997
Pt  0.332  0.332  0.003
Pt  0.500  0.500  0.500
Pt  0.414  0.414  0.254
Pt  0.919  0.414  0.254
Pt  0.414  0.919  0.254
Pt  0.586  0.586  0.746
Pt  0.586  0.081  0.746
Pt  0.081  0.586  0.746

Properties
Crystal system: trigonal
Total magnetic moment: 1.04 μB per formula unit

---

Model 2:
A plane-wave DFT calculation with PBE-GGA was carried out for Ce2MgPt9 after structural relaxation.

Cell lengths 4.118, 4.118, 12.237 Å; angles 90.00, 90.00, 90.00 degrees
Fractional positions:
Ce  0.000  0.000  0.326
Ce  0.000  0.000  0.674
Mg  0.000  0.000  0.000
Pt  0.500  0.500  0.000
Pt  0.500  0.500  0.329
Pt  0.500  0.500  0.671
Pt  0.500  0.000  0.157
Pt  0.500  0.000  0.500
Pt  0.500  0.000  0.843
Pt  0.000  0.500  0.157
Pt  0.000  0.500  0.500
Pt  0.000  0.500  0.843

Properties
Crystal system: tetragonal
Total magnetic moment: 0.00 μB per formula unit

---

Relative energy of each structure, in kJ/mol of atoms: model 1 14.6; model 2 0.0.

---

Model 1:
A plane-wave DFT calculation with PBE-GGA was carried out for CeMg2Pt2 after structural relaxation.

Cell lengths 3.902, 6.802, 8.285 Å; angles 90.00, 90.00, 106.67 degrees
Fractional positions:
Ce  0.410  0.820  0.342
Ce  0.590  0.180  0.842
Mg  0.317  0.635  0.964
Mg  0.683  0.365  0.464
Mg  0.127  0.255  0.205
Mg  0.873  0.745  0.705
Pt  0.227  0.455  0.679
Pt  0.773  0.545  0.179
Pt  0.964  0.929  0.014
Pt  0.036  0.071  0.514

Properties
Crystal system: orthorhombic
Total magnetic moment: 0.68 μB per formula unit

---

Model 2:
A plane-wave DFT calculation with PBE-GGA was carried out for CeMg2Pt2 after structural relaxation.

Cell lengths 4.711, 5.373, 8.287 Å; angles 97.85, 90.00, 90.00 degrees
Fractional positions:
Ce  0.250  0.866  0.191
Ce  0.750  0.134  0.809
Mg  0.250  0.645  0.804
Mg  0.750  0.355  0.196
Mg  0.250  0.365  0.445
Mg  0.750  0.635  0.555
Pt  0.250  0.884  0.551
Pt  0.750  0.116  0.449
Pt  0.250  0.329  0.037
Pt  0.750  0.671  0.963

Properties
Crystal system: monoclinic
Total magnetic moment: 0.65 μB per formula unit

---

Relative energy of each structure, in kJ/mol of atoms: model 1 0.0; model 2 2.3.

---

Model 1:
A plane-wave DFT calculation with PBE-GGA was carried out for CePuMg2 after structural relaxation.

Cell lengths 3.102, 3.102, 10.449 Å; angles 90.00, 90.00, 90.00 degrees
Fractional positions:
Mg  0.000  0.000  0.747
Mg  0.000  0.000  0.253
Ce  0.500  0.500  0.000
Pu  0.500  0.500  0.500

Properties
Crystal system: tetragonal
Total magnetic moment: 5.32 μB per formula unit

---

Model 2:
A plane-wave DFT calculation with PBE-GGA was carried out for CePuMg2 after structural relaxation.

Cell lengths 5.394, 5.394, 5.394 Å; angles 60.00, 60.00, 60.00 degrees
Fractional positions:
Mg  0.250  0.250  0.250
Mg  0.750  0.750  0.750
Ce  0.500  0.500  0.500
Pu  0.000  0.000  0.000

Properties
Crystal system: cubic
Total magnetic moment: 7.35 μB per formula unit

---

Model 3:
A plane-wave DFT calculation with PBE-GGA was carried out for CePuMg2 after structural relaxation.

Cell lengths 5.186, 4.445, 4.445 Å; angles 90.00, 90.00, 90.00 degrees
Fractional positions:
Mg  0.000  0.000  0.500
Mg  0.000  0.500  0.000
Ce  0.500  0.000  0.000
Pu  0.500  0.500  0.500

Properties
Crystal system: tetragonal
Total magnetic moment: 7.17 μB per formula unit

---

Relative energy of each structure, in kJ/mol of atoms: model 1 0.8; model 2 9.8; model 3 0.0.

---

Model 1:
A plane-wave DFT calculation with PBE-GGA was carried out for CePu2Mg after structural relaxation.

Cell lengths 5.264, 5.264, 5.264 Å; angles 60.00, 60.00, 60.00 degrees
Fractional positions:
Mg  0.500  0.500  0.500
Ce  0.000  0.000  0.000
Pu  0.250  0.250  0.250
Pu  0.750  0.750  0.750

Properties
Crystal system: cubic
Total magnetic moment: 13.90 μB per formula unit

---

Model 2:
A plane-wave DFT calculation with PBE-GGA was carried out for CePu2Mg after structural relaxation.

Cell lengths 4.867, 4.672, 4.672 Å; angles 90.00, 90.00, 90.00 degrees
Fractional positions:
Mg  0.500  0.000  0.000
Ce  0.500  0.500  0.500
Pu  0.000  0.000  0.500
Pu  0.000  0.500  0.000

Properties
Crystal system: tetragonal
Total magnetic moment: 13.03 μB per formula unit

---

Relative energy of each structure, in kJ/mol of atoms: model 1 0.7; model 2 0.0.

---

Model 1:
A plane-wave DFT calculation with PBE-GGA was carried out for CePuMgSn after structural relaxation.

Cell lengths 5.386, 5.386, 5.386 Å; angles 60.00, 60.00, 60.00 degrees
Fractional positions:
Mg  0.750  0.750  0.750
Sn  0.250  0.250  0.250
Ce  0.500  0.500  0.500
Pu  0.000  0.000  0.000

Properties
Crystal system: cubic
Total magnetic moment: 7.77 μB per formula unit

---

Model 2:
A plane-wave DFT calculation with PBE-GGA was carried out for CePuMgSn after structural relaxation.

Cell lengths 4.624, 4.624, 5.833 Å; angles 113.35, 113.35, 90.00 degrees
Fractional positions:
Ce  0.750  0.250  0.500
Pu  0.500  0.500  0.000
Mg  0.000  0.000  0.000
Sn  0.250  0.750  0.500

Properties
Crystal system: tetragonal
Total magnetic moment: 7.26 μB per formula unit

---

Relative energy of each structure, in kJ/mol of atoms: model 1 5.3; model 2 0.0.